P | Computed, not measured: crystalline MnTe2Cl at its relaxed geometry at the PBE level of DFT.

Properties
- mass density (g/cm³) = 5.3
- spin magnetization (μB/cell) = 5.0

```
data_MnTe2Cl
_space_group_name_H-M_alt 'P 4/m m m'
_space_group_IT_number 123
_space_group_name_Hall '-P 4 2'
_cell_length_a 4.2159
_cell_length_b 4.2159
_cell_length_c 6.0364
_cell_angle_alpha 90.00
_cell_angle_beta 90.00
_cell_angle_gamma 90.00
loop_
_atom_site_label
_atom_site_type_symbol
_atom_site_fract_x
_atom_site_fract_y
_atom_site_fract_z
Mn1 Mn 0.0000 0.0000 0.0000
Te1 Te 0.0000 0.5000 0.5000
Cl1 Cl 0.5000 0.5000 0.0000
```

=====

Q | Computed, not measured: crystalline MnTe2Cl at its relaxed geometry at the PBE level of DFT.

Properties
- mass density (g/cm³) = 6.4
- spin magnetization (μB/cell) = 12.7

```
data_MnTe2Cl
_space_group_name_H-M_alt 'F m -3 m'
_space_group_IT_number 225
_space_group_name_Hall '-F 4 2 3'
_cell_length_a 7.1065
_cell_length_b 7.1065
_cell_length_c 7.1065
_cell_angle_alpha 90.00
_cell_angle_beta 90.00
_cell_angle_gamma 90.00
loop_
_atom_site_label
_atom_site_type_symbol
_atom_site_fract_x
_atom_site_fract_y
_atom_site_fract_z
Mn1 Mn 0.0000 0.0000 0.0000
Te1 Te 0.2500 0.2500 0.2500
Cl1 Cl 0.0000 0.0000 0.5000
```

=====

Name the least stable of them. Q.

=====

P | Computed, not measured: crystalline MnTeCl3 at its relaxed geometry at the PBE level of DFT.

Properties
- mass density (g/cm³) = 2.9
- spin magnetization (μB/cell) = 5.8

```
data_MnTeCl3
_space_group_name_H-M_alt 'P m -3 m'
_space_group_IT_number 221
_space_group_name_Hall '-P 4 2 3'
_cell_length_a 5.4847
_cell_length_b 5.4847
_cell_length_c 5.4847
_cell_angle_alpha 90.00
_cell_angle_beta 90.00
_cell_angle_gamma 90.00
loop_
_atom_site_label
_atom_site_type_symbol
_atom_site_fract_x
_atom_site_fract_y
_atom_site_fract_z
Mn1 Mn 0.0000 0.0000 0.0000
Te1 Te 0.5000 0.5000 0.5000
Cl1 Cl 0.0000 0.5000 0.5000
```

=====

Q | Computed, not measured: crystalline MnTeCl3 at its relaxed geometry at the PBE level of DFT.

Properties
- mass density (g/cm³) = 4.7
- spin magnetization (μB/cell) = 0.7

```
data_MnTeCl3
_space_group_name_H-M_alt 'P m -3 m'
_space_group_IT_number 221
_space_group_name_Hall '-P 4 2 3'
_cell_length_a 4.6865
_cell_length_b 4.6865
_cell_length_c 4.6865
_cell_angle_alpha 90.00
_cell_angle_beta 90.00
_cell_angle_gamma 90.00
loop_
_atom_site_label
_atom_site_type_symbol
_atom_site_fract_x
_atom_site_fract_y
_atom_site_fract_z
Mn1 Mn 0.0000 0.0000 0.0000
Te1 Te 0.5000 0.5000 0.5000
Cl1 Cl 0.0000 0.0000 0.5000
```

=====

Name the least stable of them. P.

=====

P | Computed, not measured: crystalline Mn3TeCl at its relaxed geometry at the PBE level of DFT.

Properties
- mass density (g/cm³) = 4.2
- spin magnetization (μB/cell) = 12.0

```
data_Mn3TeCl
_space_group_name_H-M_alt 'P m -3 m'
_space_group_IT_number 221
_space_group_name_Hall '-P 4 2 3'
_cell_length_a 5.0711
_cell_length_b 5.0711
_cell_length_c 5.0711
_cell_angle_alpha 90.00
_cell_angle_beta 90.00
_cell_angle_gamma 90.00
loop_
_atom_site_label
_atom_site_type_symbol
_atom_site_fract_x
_atom_site_fract_y
_atom_site_fract_z
Mn1 Mn 0.0000 0.0000 0.5000
Te1 Te 0.0000 0.0000 0.0000
Cl1 Cl 0.5000 0.5000 0.5000
```

=====

Q | Computed, not measured: crystalline Mn3TeCl at its relaxed geometry at the PBE level of DFT.

Properties
- mass density (g/cm³) = 5.6
- spin magnetization (μB/cell) = 12.0

```
data_Mn3TeCl
_space_group_name_H-M_alt 'P m -3 m'
_space_group_IT_number 221
_space_group_name_Hall '-P 4 2 3'
_cell_length_a 4.6108
_cell_length_b 4.6108
_cell_length_c 4.6108
_cell_angle_alpha 90.00
_cell_angle_beta 90.00
_cell_angle_gamma 90.00
loop_
_atom_site_label
_atom_site_type_symbol
_atom_site_fract_x
_atom_site_fract_y
_atom_site_fract_z
Mn1 Mn 0.0000 0.0000 0.5000
Te1 Te 0.5000 0.5000 0.5000
Cl1 Cl 0.0000 0.0000 0.0000
```

=====

Name the least stable of them. P.